Here is an optimized crystal structure of AcMgAl2Hg from Alexandria. Energies are from GGA-PBE.

Computed properties:
DFT formation energy   -361 meV/atom
V   24.4 A^3/atom
Magnetic moment   0.000 μB/cell
Symmetry   Imm2, No. 44
DFT total energy   -15.30 eV for the cell shown

Cell lengths 4.5295, 4.5929, 6.6962 Å; angles 110.06, 109.77, 90.00 degrees
Last column: nearest neighbours and their distance in Å.
Sites, in units of the cell vectors:
Hg  0.8274  0.8274  0.6547  3 Al 2.67-2.82, 2 Mg 2.77
Ac  0.4502  0.4502  0.9003  8 Al 3.45-3.81, 4 Hg 3.53, 4 Mg 3.62-3.81
Al  0.0548  0.0548  0.1096  1 Hg 2.67, 2 Al 2.76, 2 Mg 2.80
Al  0.6886  0.1886  0.3772  2 Al 2.76, 2 Hg 2.82
Mg  0.1912  0.6912  0.3824  2 Hg 2.77, 2 Al 2.80